# LiGa2Cu

A relaxed LiGa2Cu crystal (GGA-PBE, Alexandria via LeMat-Bulk).

## Properties
The value obtained for the energy of formation is -0.12 eV per atom. The total energy comes out at -3.138 eV/atom.

abc: 8.5963 8.5963 8.5963
angles: 19.42 19.42 19.42
Element x y z (fractional)
Li 0.0000 0.0000 0.0000
Ga 0.2476 0.2476 0.2476
Ga 0.4213 0.4213 0.4213
Cu 0.8348 0.8348 0.8348

# LiGa2Cu

A relaxed LiGa2Cu crystal (GGA-PBE, Alexandria via LeMat-Bulk).

## Properties
The value obtained for the energy of formation is -0.18 eV per atom. The total energy comes out at -3.194 eV/atom.

abc: 3.8462 5.6232 2.6872
angles: 90.00 90.00 90.00
Element x y z (fractional)
Li 0.0000 0.0000 0.0000
Ga 0.5000 0.2546 0.5014
Ga 0.5000 0.7454 0.5014
Cu 0.0000 0.5000 0.0048

# Li13Ga21Cu6

A relaxed Li13Ga21Cu6 crystal (GGA-PBE, Alexandria via LeMat-Bulk).

## Properties
The value obtained for the energy of formation is -0.28 eV per atom. The total energy comes out at -3.109 eV/atom.

abc: 11.8223 11.8223 11.8223
angles: 109.47 109.47 109.47
Element x y z (fractional)
Li 0.0000 0.0000 0.3727
Li 0.0000 0.0000 0.6273
Li 0.0000 0.3727 0.0000
Li 0.0000 0.6273 0.0000
Li 0.1154 0.3049 0.4203
Li 0.1154 0.6951 0.8105
Li 0.1895 0.8846 0.3049
Li 0.2044 0.5000 0.7044
Li 0.2956 0.7956 0.5000
Li 0.3049 0.1895 0.8846
Li 0.3049 0.4203 0.1154
Li 0.3727 0.0000 0.0000
Li 0.3727 0.3727 0.3727
Li 0.4203 0.1154 0.3049
Li 0.5000 0.2956 0.7956
Li 0.5000 0.7044 0.2044
Li 0.5797 0.8846 0.6951
Li 0.6273 0.0000 0.0000
Li 0.6273 0.6273 0.6273
Li 0.6951 0.5797 0.8846
Li 0.6951 0.8105 0.1154
Li 0.7044 0.2044 0.5000
Li 0.7956 0.5000 0.2956
Li 0.8105 0.1154 0.6951
Li 0.8846 0.3049 0.1895
Li 0.8846 0.6951 0.5797
Ga 0.0302 0.5943 0.2458
Ga 0.0302 0.7845 0.4359
Ga 0.0623 0.1599 0.9024
Ga 0.0933 0.5933 0.5000
Ga 0.0976 0.2574 0.1599
Ga 0.0976 0.9377 0.8401
Ga 0.1599 0.0976 0.2574
Ga 0.1599 0.9024 0.0623
Ga 0.2155 0.2458 0.6515
Ga 0.2155 0.5641 0.9698
Ga 0.2458 0.0302 0.5943
Ga 0.2458 0.6515 0.2155
Ga 0.2574 0.1599 0.0976
Ga 0.3485 0.5943 0.5641
Ga 0.3485 0.7845 0.7542
Ga 0.4057 0.4359 0.6515
Ga 0.4057 0.7542 0.9698
Ga 0.4067 0.5000 0.9067
Ga 0.4359 0.0302 0.7845
Ga 0.4359 0.6515 0.4057
Ga 0.5000 0.0933 0.5933
Ga 0.5000 0.9067 0.4067
Ga 0.5641 0.3485 0.5943
Ga 0.5641 0.9698 0.2155
Ga 0.5933 0.5000 0.0933
Ga 0.5943 0.2458 0.0302
Ga 0.5943 0.5641 0.3485
Ga 0.6515 0.2155 0.2458
Ga 0.6515 0.4057 0.4359
Ga 0.7426 0.8401 0.9024
Ga 0.7542 0.3485 0.7845
Ga 0.7542 0.9698 0.4057
Ga 0.7845 0.4359 0.0302
Ga 0.7845 0.7542 0.3485
Ga 0.8401 0.0976 0.9377
Ga 0.8401 0.9024 0.7426
Ga 0.9024 0.0623 0.1599
Ga 0.9024 0.7426 0.8401
Ga 0.9067 0.4067 0.5000
Ga 0.9377 0.8401 0.0976
Ga 0.9698 0.2155 0.5641
Ga 0.9698 0.4057 0.7542
Cu 0.1409 0.3181 0.8228
Cu 0.1772 0.4953 0.3181
Cu 0.1772 0.8591 0.6819
Cu 0.3181 0.1772 0.4953
Cu 0.3181 0.8228 0.1409
Cu 0.4953 0.3181 0.1772
Cu 0.5047 0.6819 0.8228
Cu 0.6819 0.1772 0.8591
Cu 0.6819 0.8228 0.5047
Cu 0.8228 0.1409 0.3181
Cu 0.8228 0.5047 0.6819
Cu 0.8591 0.6819 0.1772

# LiGa2Cu

A relaxed LiGa2Cu crystal (GGA-PBE, Alexandria via LeMat-Bulk).

## Properties
The value obtained for the energy of formation is -0.17 eV per atom. The total energy comes out at -3.189 eV/atom.

abc: 3.8722 3.8722 3.8544
angles: 90.00 90.00 90.00
Element x y z (fractional)
Li 0.0000 0.0000 0.0000
Ga 0.0000 0.5000 0.5000
Ga 0.5000 0.0000 0.5000
Cu 0.5000 0.5000 0.0000